Tb2HoSc5 | the Open Quantum Materials Database | PBE | optimized geometry; VASP energy = -5.627 eV/atom; magnetization = 0.0036 μB/atom
1.0
-4.3339 -4.9616 0.8482
-2.8334 3.6632 4.7616
0.6761 2.6324 -6.0608
Tb Sc Ho
2 5 1
direct
0.2777 0.7777 0.5000
0.7777 0.2777 0.5000
0.7776 0.2780 0.0000
0.7776 0.7776 0.4996
0.2780 0.7776 0.0000
0.2780 0.2780 0.5004
0.2773 0.2773 0.0000
0.7780 0.7780 0.0000